Entry 1:
A relaxed structure of Ba2HgF, computed with PBE.

```
Ba2HgF
1.0
0.000 4.063 4.063
4.063 0.000 4.063
4.063 4.063 0.000
Hg F Ba
1 1 2
Direct
0.500 0.500 0.500
0.000 0.000 0.000
0.750 0.750 0.750
0.250 0.250 0.250
```

Results
Magnetic moment ... 0.0 μB/cell
Uncorrected formation energy ... -27.0 kcal/mol of atoms
Energy relative to the lowest polymorph listed for this composition ... 369.0 meV per atom

Entry 2:
A relaxed structure of BaHg3F, computed with PBE.

```
BaHg3F
1.0
-4.225 -4.025 -3.500
5.324 -3.455 -2.454
-0.326 -4.262 5.295
Hg F Ba
3 1 1
Direct
0.000 0.000 0.500
0.500 0.000 0.000
0.000 0.500 0.000
0.500 0.500 0.500
0.000 0.000 0.000
```

Results
Magnetic moment ... 0.0 μB/cell
Uncorrected formation energy ... -4.6 kcal/mol of atoms
Energy relative to the lowest polymorph listed for this composition ... 502.6 meV per atom

Entry 3:
A relaxed structure of Ba2Hg2F7, computed with PBE.

```
Ba2Hg2F7
1.0
7.315 0.000 4.185
2.620 7.138 3.906
-0.036 -0.031 8.548
F Ba Hg
14 4 4
Direct
0.750 0.120 0.380
0.663 0.619 0.614
0.250 0.880 0.620
0.888 0.357 0.866
0.112 0.643 0.134
0.163 0.114 0.119
0.896 0.381 0.386
0.604 0.114 0.119
0.337 0.381 0.386
0.837 0.886 0.881
0.612 0.634 0.143
0.104 0.619 0.614
0.396 0.886 0.881
0.388 0.366 0.857
0.000 0.000 0.000
0.500 0.500 0.000
0.500 0.500 0.500
0.000 0.500 0.000
0.500 0.000 0.500
0.000 0.000 0.500
0.000 0.500 0.500
0.500 0.000 0.000
```

Results
Magnetic moment ... 0.0 μB/cell
Uncorrected formation energy ... -59.8 kcal/mol of atoms
Energy relative to the lowest polymorph listed for this composition ... 0.0 meV per atom

Entry 4:
A relaxed structure of BaHg2F2, computed with PBE.

```
BaHg2F2
1.0
7.081 0.000 0.000
0.000 7.081 0.000
0.000 0.000 6.479
Hg F Ba
4 4 2
Direct
0.167 0.667 0.500
0.667 0.833 0.500
0.833 0.333 0.500
0.333 0.167 0.500
0.772 0.728 0.000
0.228 0.272 0.000
0.272 0.772 0.000
0.728 0.228 0.000
0.000 0.000 0.000
0.500 0.500 0.000
```

Results
Magnetic moment ... 0.0 μB/cell
Uncorrected formation energy ... -46.9 kcal/mol of atoms

Entry 5:
A relaxed structure of K2BaHgF6, computed with PBE.

```
K2BaHgF6
1.0
6.486 0.000 -0.101
0.000 6.717 0.000
-0.085 0.000 9.285
F Ba Hg K
12 2 2 4
Direct
0.814 0.787 0.929
0.371 0.935 0.736
0.784 0.808 0.568
0.284 0.692 0.068
0.686 0.287 0.571
0.629 0.065 0.264
0.716 0.308 0.932
0.216 0.192 0.432
0.314 0.713 0.429
0.871 0.565 0.236
0.129 0.435 0.764
0.186 0.213 0.071
0.000 0.500 0.500
0.500 0.000 0.000
0.500 0.000 0.500
0.000 0.500 0.000
0.020 0.945 0.248
0.980 0.055 0.752
0.480 0.445 0.252
0.520 0.555 0.748
```

Results
Magnetic moment ... 0.0 μB/cell
Uncorrected formation energy ... -61.6 kcal/mol of atoms

Entry 6:
A relaxed structure of KBaHg2F8, computed with PBE.

```
KBaHg2F8
1.0
-4.595 -3.704 -1.108
3.739 -3.820 -2.736
1.352 1.145 6.839
F Hg Ba K
8 2 1 1
Direct
0.591 0.623 0.748
0.377 0.408 0.250
0.158 0.623 0.750
0.873 0.842 0.250
0.157 0.125 0.748
0.592 0.127 0.750
0.377 0.843 0.252
0.875 0.409 0.252
0.500 0.500 0.000
0.250 0.750 0.500
0.750 0.250 0.500
0.000 0.000 0.000
```

Results
Magnetic moment ... 1.2 μB/cell
Uncorrected formation energy ... -49.1 kcal/mol of atoms

Entry 7:
A relaxed structure of KBa2HgF8, computed with PBE.

```
KBa2HgF8
1.0
4.455 -0.266 0.037
-0.273 6.000 -0.144
0.072 -0.185 8.726
Ba F K Hg
2 8 1 1
Direct
0.495 0.511 0.252
0.505 0.489 0.748
0.582 0.781 0.005
0.030 0.736 0.223
0.418 0.219 0.995
0.970 0.264 0.777
0.484 0.737 0.513
0.516 0.263 0.487
0.056 0.783 0.800
0.944 0.217 0.200
0.000 0.000 0.500
0.000 0.000 0.000
```

Results
Magnetic moment ... 1.1 μB/cell
Uncorrected formation energy ... -63.8 kcal/mol of atoms

Entry 8:
A relaxed structure of Ba2LiHgF6, computed with PBE.

```
Ba2LiHgF6
1.0
-4.284 0.529 3.950
4.252 -2.816 4.989
2.833 7.856 2.019
F Li Ba Hg
12 2 4 2
Direct
0.500 0.179 0.733
0.234 0.370 0.500
0.259 0.975 0.500
0.241 0.025 0.000
0.741 0.975 0.500
0.759 0.025 0.000
0.500 0.179 0.267
0.000 0.821 0.233
0.000 0.821 0.767
0.266 0.630 0.000
0.766 0.370 0.500
0.734 0.630 0.000
0.000 0.794 0.000
0.500 0.206 0.500
0.500 0.818 0.223
0.000 0.182 0.277
0.000 0.182 0.723
0.500 0.818 0.777
0.000 0.670 0.500
0.500 0.330 0.000
```

Results
Magnetic moment ... 0.9 μB/cell
Uncorrected formation energy ... -66.7 kcal/mol of atoms

Entry 9:
A relaxed structure of BaLi4Hg3F12, computed with PBE.

```
BaLi4Hg3F12
1.0
7.341 -0.147 -0.204
-1.911 7.090 -0.204
-1.911 -2.444 6.659
Hg F Ba Li
3 12 1 4
Direct
0.553 0.447 0.000
0.000 0.553 0.447
0.447 0.000 0.553
0.034 0.658 0.788
0.966 0.212 0.342
0.347 0.653 0.500
0.095 0.905 0.500
0.500 0.347 0.653
0.905 0.500 0.095
0.658 0.788 0.034
0.788 0.034 0.658
0.342 0.966 0.212
0.212 0.342 0.966
0.653 0.500 0.347
0.500 0.095 0.905
0.000 0.000 0.000
0.059 0.500 0.941
0.500 0.941 0.059
0.500 0.500 0.500
0.941 0.059 0.500
```

Results
Magnetic moment ... 0.0 μB/cell
Uncorrected formation energy ... -53.8 kcal/mol of atoms

Entry 10:
A relaxed structure of Ba2Li3HgF12, computed with PBE.

```
Ba2Li3HgF12
1.0
7.854 0.753 0.534
4.533 6.458 0.534
4.533 2.639 5.918
F Hg Ba Li
12 1 2 3
Direct
0.721 0.721 0.151
0.597 0.141 0.141
0.721 0.151 0.721
0.403 0.859 0.859
0.279 0.849 0.279
0.141 0.141 0.597
0.849 0.279 0.279
0.859 0.403 0.859
0.279 0.279 0.849
0.141 0.597 0.141
0.859 0.859 0.403
0.151 0.721 0.721
0.000 0.000 0.000
0.395 0.395 0.395
0.605 0.605 0.605
0.000 0.500 0.000
0.000 0.000 0.500
0.500 0.000 0.000
```

Results
Magnetic moment ... 3.0 μB/cell
Uncorrected formation energy ... -55.4 kcal/mol of atoms

Entry 11:
A relaxed structure of Ba2Mg3HgF12, computed with PBE.

```
Ba2Mg3HgF12
1.0
-2.386 2.317 -6.285
1.556 -3.767 -5.826
-5.215 -3.620 -3.202
F Mg Ba Hg
12 3 2 1
Direct
0.416 0.864 0.864
0.584 0.136 0.136
0.864 0.864 0.416
0.136 0.584 0.136
0.284 0.878 0.284
0.284 0.284 0.878
0.864 0.416 0.864
0.716 0.716 0.122
0.878 0.284 0.284
0.122 0.716 0.716
0.136 0.136 0.584
0.716 0.122 0.716
0.500 0.000 0.000
0.000 0.500 0.000
0.000 0.000 0.500
0.611 0.611 0.611
0.389 0.389 0.389
0.000 0.000 0.000
```

Results
Magnetic moment ... 0.0 μB/cell
Uncorrected formation energy ... -74.6 kcal/mol of atoms

Entry 12:
A relaxed structure of BaMg2HgF8, computed with PBE.

```
BaMg2HgF8
1.0
5.285 0.006 -0.004
0.060 5.308 -0.007
0.005 0.008 6.791
F Hg Mg Ba
8 1 2 1
Direct
0.341 0.337 0.500
0.323 0.320 0.000
0.233 0.762 0.773
0.677 0.680 0.000
0.767 0.238 0.773
0.767 0.238 0.227
0.659 0.663 0.500
0.233 0.762 0.227
0.000 0.000 0.000
0.500 0.500 0.242
0.500 0.500 0.758
0.000 0.000 0.500
```

Results
Magnetic moment ... 0.0 μB/cell
Uncorrected formation energy ... -68.9 kcal/mol of atoms